Record 1
Below is a geometry-optimized Rb5Ti2Te6 structure, with properties calculated at the PBE-GGA level.

Output
Total magnetic moment = 2.012 Bohr magnetons per cell
Total DFT energy (no corrections) = -3.927 eV/atom
ΔE_f (raw) = -11.57 eV/f.u.

Cell: 14.274 17.084 4.630 Å, 90.00 90.00 90.00°
Space group Pbam (No. 55)
Asymmetric unit:
Rb (0.000, 0.000, 0.000) (multiplicity 2)
Rb (0.064, 0.237, 0.000) (multiplicity 4)
Rb (0.160, 0.485, 0.000) (multiplicity 4)
Ti (0.185, 0.695, 0.500) (multiplicity 4)
Te (0.028, 0.619, 0.500) (multiplicity 4)
Te (0.173, 0.095, 0.500) (multiplicity 4)
Te (0.190, 0.784, 0.000) (multiplicity 4)

=====

Record 2
Below is a geometry-optimized Rb2TiTe4 structure, with properties calculated at the PBE-GGA level.

Output
Offset from the most stable computed form = 0 meV/atom
Total magnetic moment = 0.000 Bohr magnetons per cell
Total DFT energy (no corrections) = -3.834 eV/atom
ΔE_f (raw) = -4.44 eV/f.u.

Cell: 8.294 4.066 8.614 Å, 90.00 108.89 90.00°
Space group Pm (No. 6)
Asymmetric unit:
Rb (0.000, 0.000, 0.000) (multiplicity 1)
Rb (0.397, 0.000, 0.637) (multiplicity 1)
Ti (0.697, 0.500, 0.318) (multiplicity 1)
Te (0.061, 0.500, 0.401) (multiplicity 1)
Te (0.335, 0.500, 0.238) (multiplicity 1)
Te (0.615, 0.000, 0.084) (multiplicity 1)
Te (0.782, 0.000, 0.553) (multiplicity 1)

=====

Record 3
Below is a geometry-optimized RbTi5Te8 structure, with properties calculated at the PBE-GGA level.

Output
Total magnetic moment = 3.925 Bohr magnetons per cell
Total DFT energy (no corrections) = -5.460 eV/atom
ΔE_f (raw) = -10.87 eV/f.u.

Cell: 20.495 3.859 9.900 Å, 90.00 104.38 90.00°
Space group C2/m (No. 12)
Asymmetric unit:
Rb (0.000, 0.000, 0.000) (multiplicity 2)
Ti (0.000, 0.500, 0.500) (multiplicity 2)
Ti (0.149, 0.000, 0.503) (multiplicity 4)
Ti (0.209, 0.000, 0.845) (multiplicity 4)
Te (0.071, 0.000, 0.685) (multiplicity 4)
Te (0.086, 0.500, 0.318) (multiplicity 4)
Te (0.161, 0.500, 0.001) (multiplicity 4)
Te (0.243, 0.500, 0.657) (multiplicity 4)

=====

Record 4
Below is a geometry-optimized Rb2TiTe2 structure, with properties calculated at the PBE-GGA level.

Output
Offset from the most stable computed form = 0 meV/atom
Total magnetic moment = 8.079 Bohr magnetons per cell
Total DFT energy (no corrections) = -4.017 eV/atom
ΔE_f (raw) = -3.97 eV/f.u.

Cell: 8.025 14.832 6.875 Å, 90.00 90.00 90.00°
Space group Ibam (No. 72)
Asymmetric unit:
Rb (0.163, 0.145, 0.000) (multiplicity 8)
Ti (0.000, 0.500, 0.250) (multiplicity 4)
Te (0.193, 0.396, 0.000) (multiplicity 8)

=====

Record 5
Below is a geometry-optimized RbTiTe4 structure, with properties calculated at the PBE-GGA level.

Output
Offset from the most stable computed form = 52 meV/atom
Total magnetic moment = 0.000 Bohr magnetons per cell
Total DFT energy (no corrections) = -4.100 eV/atom
ΔE_f (raw) = -3.17 eV/f.u.

Cell: 8.748 16.034 6.633 Å, 90.00 112.20 90.00°
Space group C2/c (No. 15)
Asymmetric unit:
Rb (0.000, 0.143, 0.250) (multiplicity 4)
Ti (0.000, 0.500, 0.250) (multiplicity 4)
Te (0.062, 0.361, 0.531) (multiplicity 8)
Te (0.228, 0.074, 0.863) (multiplicity 8)

=====

Record 6
Below is a geometry-optimized RbTiTlTe2 structure, with properties calculated at the PBE-GGA level.

Output
Total magnetic moment = 2.050 Bohr magnetons per cell
Total DFT energy (no corrections) = -2.516 eV/atom
ΔE_f (raw) = 4.93 eV/f.u.

Cell: 6.405 6.405 5.321 Å, 90.00 90.00 90.00°
Space group P4/mmm (No. 123)
Asymmetric unit:
Rb (0.000, 0.000, 0.000) (multiplicity 1)
Ti (0.000, 0.000, 0.500) (multiplicity 1)
Tl (0.500, 0.500, 0.500) (multiplicity 1)
Te (0.000, 0.500, 0.000) (multiplicity 2)

=====

Record 7
Below is a geometry-optimized RbTiTlTe3 structure, with properties calculated at the PBE-GGA level.

Output
Total magnetic moment = 0.000 Bohr magnetons per cell
Total DFT energy (no corrections) = -4.109 eV/atom
ΔE_f (raw) = -4.00 eV/f.u.

Cell: 8.105 16.272 7.395 Å, 90.00 104.03 90.00°
Space group C2/c (No. 15)
Asymmetric unit:
Rb (0.000, 0.246, 0.250) (multiplicity 4)
Ti (0.000, 0.047, 0.750) (multiplicity 4)
Tl (0.000, 0.412, 0.750) (multiplicity 4)
Te (0.000, 0.208, 0.750) (multiplicity 4)
Te (0.220, 0.043, 0.506) (multiplicity 8)

=====

Record 8
Below is a geometry-optimized Rb4Tm3TiTe8 structure, with properties calculated at the PBE-GGA level.

Output
Total magnetic moment = 3.003 Bohr magnetons per cell
Total DFT energy (no corrections) = -4.345 eV/atom
ΔE_f (raw) = -19.20 eV/f.u.

Cell: 8.8374 8.8374 25.5565 Å, 90.00 90.00 120.00°
Space group R-3m (No. 166, hexagonal axes)
Asymmetric unit:
Rb (0.0000, 0.0000, 0.0000) (multiplicity 3)
Rb (0.0000, 0.5000, 0.0000) (multiplicity 9)
Tm (0.0000, 0.5000, 0.5000) (multiplicity 9)
Ti (0.0000, 0.0000, 0.5000) (multiplicity 3)
Te (0.0000, 0.0000, 0.2330) (multiplicity 6)
Te (0.0146, 0.5073, 0.2304) (multiplicity 18)